Np2Ga8Ir after structural relaxation, computed with GGA-PBE.

Lattice parameters (Å, degrees): 4.317 4.317 11.119 90.00 90.00 90.00
Fractional coordinates of all 11 atoms:
Np1 0.000 0.000 0.191
Np2 0.000 0.000 0.809
Ga1 0.000 0.500 0.000
Ga2 0.000 0.500 0.376
Ga3 0.000 0.500 0.624
Ga4 0.500 0.000 0.000
Ga5 0.500 0.000 0.376
Ga6 0.500 0.000 0.624
Ga7 0.500 0.500 0.192
Ga8 0.500 0.500 0.808
Ir1 0.000 0.000 0.500

Output
crystal system: tetragonal

---

NpGa3Ir after structural relaxation, computed with GGA-PBE.

Lattice parameters (Å, degrees): 4.177 4.177 10.852 90.00 90.00 90.00
Fractional coordinates of all 10 atoms:
Np1 0.000 0.000 0.000
Np2 0.500 0.500 0.500
Ga1 0.000 0.000 0.595
Ga2 0.000 0.500 0.244
Ga3 0.000 0.500 0.744
Ga4 0.500 0.000 0.244
Ga5 0.500 0.000 0.744
Ga6 0.500 0.500 0.095
Ir1 0.000 0.000 0.372
Ir2 0.500 0.500 0.872

Output
crystal system: tetragonal
energy above the lowest structure with this stoichiometry: 0.23 eV/f.u.

---

NpGaIr4 after structural relaxation, computed with GGA-PBE.

Lattice parameters (Å, degrees): 5.263 5.263 5.263 60.00 60.00 60.00
Fractional coordinates of all 6 atoms:
Np1 0.000 0.000 0.000
Ga1 0.750 0.750 0.750
Ir1 0.376 0.376 0.376
Ir2 0.376 0.376 0.872
Ir3 0.376 0.872 0.376
Ir4 0.872 0.376 0.376

Output
crystal system: cubic

---

Np2GaIr3 after structural relaxation, computed with GGA-PBE.

Lattice parameters (Å, degrees): 5.579 5.579 7.887 90.00 90.00 120.00
Fractional coordinates of all 12 atoms:
Np1 0.333 0.667 0.075
Np2 0.333 0.667 0.425
Np3 0.667 0.333 0.575
Np4 0.667 0.333 0.925
Ga1 0.000 0.000 0.000
Ga2 0.000 0.000 0.500
Ir1 0.171 0.343 0.750
Ir2 0.171 0.829 0.750
Ir3 0.343 0.171 0.250
Ir4 0.657 0.829 0.750
Ir5 0.829 0.171 0.250
Ir6 0.829 0.657 0.250

Output
crystal system: hexagonal
energy above the lowest structure with this stoichiometry: 0.00 eV/f.u.

---

Calculated values (Å³ per atom) of volume for the records, taken in order: 18.837, 18.936, 17.184, 17.718.
Calculated values (μB/atom) of magnetization for the records, taken in order: 0.6950, 0.7783, 0.2929, 1.1109.
Calculated values (eV per atom) of ΔE_f for the records, taken in order: -0.322, -0.283, -0.248, -0.513.